[1]
NpMn2Ru, optimized geometry, DFT PBE-GGA; Fermi-level density of states = 1.811 states/eV per atom; calculated formation energy = 64.5 meV/atom; E above lowest polymorph = 0 meV per atom
1.0
3.884 0.000 0.000
0.000 3.884 0.000
0.000 0.000 4.026
Np Mn Ru
1 2 1
Cartesian
0.000 0.000 0.000 Np
0.000 1.942 2.013 Mn
1.942 0.000 2.013 Mn
1.942 1.942 0.000 Ru


[2]
NpMnRu, optimized geometry, DFT PBE-GGA; Fermi-level density of states = 1.557 states/eV per atom; calculated formation energy = 144.4 meV/atom; E above lowest polymorph = 0 meV per atom
1.0
4.431 0.000 0.000
-2.215 3.837 0.000
0.000 0.000 2.810
Np Mn Ru
1 1 1
Cartesian
0.000 0.000 0.000 Np
2.215 1.279 2.074 Mn
0.000 2.558 0.792 Ru


[3]
Np2MnRu, optimized geometry, DFT PBE-GGA; Fermi-level density of states = 2.061 states/eV per atom; calculated formation energy = 175.9 meV/atom; E above lowest polymorph = 0 meV per atom
1.0
4.784 0.000 0.000
0.000 4.784 0.000
0.000 0.000 3.254
Np Mn Ru
2 1 1
Cartesian
0.000 2.392 0.000 Np
2.392 0.000 0.000 Np
0.000 0.000 1.627 Mn
2.392 2.392 1.627 Ru


[4]
NpMnSbRu, optimized geometry, DFT PBE-GGA; Fermi-level density of states = 1.563 states/eV per atom; energy = -8.8967 eV/atom
1.0
6.600 0.000 0.000
0.000 6.600 0.000
0.000 0.000 6.600
Np Mn Sb Ru
4 4 4 4
Cartesian
0.000 0.000 0.000 Np
0.000 3.300 3.300 Np
3.300 0.000 3.300 Np
3.300 3.300 0.000 Np
1.650 1.650 4.950 Mn
1.650 4.950 1.650 Mn
4.950 1.650 1.650 Mn
4.950 4.950 4.950 Mn
0.000 0.000 3.300 Sb
0.000 3.300 0.000 Sb
3.300 0.000 0.000 Sb
3.300 3.300 3.300 Sb
1.650 1.650 1.650 Ru
1.650 4.950 4.950 Ru
4.950 1.650 4.950 Ru
4.950 4.950 1.650 Ru


[5]
NpMnSi2Ru, optimized geometry, DFT PBE-GGA; Fermi-level density of states = 2.018 states/eV per atom; energy = -8.8934 eV/atom
1.0
3.955 0.000 0.000
0.000 3.955 0.000
0.000 0.000 10.356
Np Mn Si Ru
2 2 4 2
Cartesian
0.000 0.000 0.000 Np
1.977 1.977 5.178 Np
0.000 1.977 7.767 Mn
1.977 0.000 2.589 Mn
0.000 0.000 3.968 Si
0.000 0.000 6.387 Si
1.977 1.977 1.209 Si
1.977 1.977 9.146 Si
0.000 1.977 2.589 Ru
1.977 0.000 7.767 Ru


[6]
NpMnSnRu, optimized geometry, DFT PBE-GGA; Fermi-level density of states = 1.301 states/eV per atom; calculated formation energy = -46.0 meV/atom
1.0
6.575 0.000 0.000
0.000 6.575 0.000
0.000 0.000 6.575
Np Mn Sn Ru
4 4 4 4
Cartesian
0.000 0.000 0.000 Np
0.000 3.287 3.287 Np
3.287 0.000 3.287 Np
3.287 3.287 0.000 Np
1.644 1.644 1.644 Mn
1.644 4.931 4.931 Mn
4.931 1.644 4.931 Mn
4.931 4.931 1.644 Mn
0.000 0.000 3.287 Sn
0.000 3.287 0.000 Sn
3.287 0.000 0.000 Sn
3.287 3.287 3.287 Sn
1.644 1.644 4.931 Ru
1.644 4.931 1.644 Ru
4.931 1.644 1.644 Ru
4.931 4.931 4.931 Ru


[7]
NpMnVRu, optimized geometry, DFT PBE-GGA; Fermi-level density of states = 1.541 states/eV per atom; calculated formation energy = 250.6 meV/atom
1.0
6.195 0.000 0.000
0.000 6.195 0.000
0.000 0.000 6.195
Np Mn V Ru
4 4 4 4
Cartesian
0.000 0.000 0.000 Np
0.000 3.098 3.098 Np
3.098 0.000 3.098 Np
3.098 3.098 0.000 Np
1.549 1.549 1.549 Mn
1.549 4.647 4.647 Mn
4.647 1.549 4.647 Mn
4.647 4.647 1.549 Mn
1.549 1.549 4.647 V
1.549 4.647 1.549 V
4.647 1.549 1.549 V
4.647 4.647 4.647 V
0.000 0.000 3.098 Ru
0.000 3.098 0.000 Ru
3.098 0.000 0.000 Ru
3.098 3.098 3.098 Ru


[8]
NpMn2S6, optimized geometry, DFT PBE-GGA; Fermi-level density of states = 1.036 states/eV per atom; energy = -6.9542 eV/atom
1.0
7.994 -1.770 0.000
7.994 1.770 0.000
-2.551 0.000 7.285
Np Mn S
1 2 6
Cartesian
0.000 0.000 0.000 Np
3.601 0.000 4.794 Mn
9.835 0.000 2.491 Mn
2.425 0.000 0.983 S
1.412 0.000 4.019 S
5.893 0.000 5.380 S
7.544 0.000 1.905 S
12.024 0.000 3.265 S
11.012 0.000 6.301 S


[9]
NpMn2S3, optimized geometry, DFT PBE-GGA; Fermi-level density of states = 1.466 states/eV per atom; energy = -8.0332 eV/atom
1.0
10.360 -1.996 0.000
10.360 1.996 0.000
-1.422 0.000 5.588
Np Mn S
2 4 6
Cartesian
2.554 0.000 2.467 Np
16.744 0.000 3.122 Np
4.377 0.000 0.213 Mn
8.902 0.000 1.667 Mn
10.396 0.000 3.921 Mn
14.921 0.000 5.375 Mn
0.930 0.000 4.765 S
4.672 0.000 4.230 S
8.118 0.000 3.847 S
11.181 0.000 1.741 S
14.627 0.000 1.358 S
18.368 0.000 0.823 S


[10]
Np5Mn2S12, optimized geometry, DFT PBE-GGA; Fermi-level density of states = 2.597 states/eV per atom; energy = -8.0074 eV/atom
1.0
6.739 -3.791 0.000
6.739 3.791 0.000
-3.085 0.000 8.712
Np Mn S
5 2 12
Cartesian
0.000 0.000 0.000 Np
1.910 0.000 4.638 Np
3.811 0.000 1.065 Np
6.581 0.000 7.646 Np
8.482 0.000 4.074 Np
5.196 1.898 4.356 Mn
5.196 -1.898 4.356 Mn
-0.342 0.000 2.953 S
3.173 1.772 3.065 S
1.858 2.004 8.437 S
8.535 2.004 0.275 S
7.220 1.772 5.647 S
4.316 0.000 5.874 S
6.077 0.000 2.838 S
3.173 -1.772 3.065 S
1.858 -2.004 8.437 S
8.535 -2.004 0.275 S
7.220 -1.772 5.647 S
10.735 0.000 5.759 S


[11]
NpMn2S4, optimized geometry, DFT PBE-GGA; Fermi-level density of states = 1.524 states/eV per atom; E above lowest polymorph = 40 meV per atom
1.0
-4.186 4.186 3.961
4.186 -4.186 3.961
4.186 4.186 -3.961
Np Mn S
2 4 8
Cartesian
4.186 2.093 0.990 Np
0.000 2.093 2.971 Np
0.000 0.000 0.000 Mn
2.093 2.093 -1.981 Mn
2.093 -2.093 1.981 Mn
0.000 4.186 0.000 Mn
4.186 -0.540 1.569 S
4.186 3.646 -1.569 S
1.553 2.093 0.412 S
2.633 -2.093 4.373 S
1.553 6.279 -0.412 S
2.633 2.093 3.550 S
0.000 0.540 5.530 S
0.000 4.726 2.392 S


[12]
Np3Mn5S12, optimized geometry, DFT PBE-GGA; Fermi-level density of states = 1.468 states/eV per atom; energy = -7.5887 eV/atom
1.0
-7.465 7.465 7.465
7.465 -7.465 7.465
7.465 7.465 -7.465
Np Mn S
12 20 48
Cartesian
3.732 1.866 0.000 Np
7.465 3.732 -1.866 Np
1.866 0.000 3.732 Np
9.331 0.000 3.732 Np
0.000 3.732 1.866 Np
3.732 -1.866 7.465 Np
3.732 9.331 0.000 Np
7.465 3.732 5.598 Np
-1.866 7.465 3.732 Np
5.598 7.465 3.732 Np
0.000 3.732 9.331 Np
3.732 5.598 7.465 Np
0.000 0.000 0.000 Mn
3.732 3.732 -3.732 Mn
3.732 -3.732 3.732 Mn
7.465 0.000 0.000 Mn
11.197 1.866 0.000 Mn
7.465 -3.732 5.598 Mn
5.598 7.465 -3.732 Mn
5.598 0.000 3.732 Mn
3.732 5.598 0.000 Mn
7.465 3.732 1.866 Mn
-3.732 3.732 3.732 Mn
0.000 7.465 0.000 Mn
0.000 0.000 7.465 Mn
3.732 3.732 3.732 Mn
0.000 3.732 5.598 Mn
3.732 1.866 7.465 Mn
1.866 7.465 3.732 Mn
1.866 0.000 11.197 Mn
0.000 11.197 1.866 Mn
-3.732 5.598 7.465 Mn
2.240 -0.386 0.925 S
8.957 4.658 -4.118 S
7.079 -0.925 2.240 S
9.705 0.386 0.925 S
8.957 -2.807 4.118 S
11.583 -1.492 2.807 S
0.925 2.240 -0.386 S
10.272 3.347 -1.492 S
4.658 4.118 -1.492 S
6.539 2.240 0.386 S
-0.386 0.925 2.240 S
4.118 -1.492 4.658 S
7.079 6.539 -2.240 S
4.118 1.492 2.807 S
4.658 -4.118 8.957 S
6.539 -2.240 7.079 S
2.807 4.118 1.492 S
8.390 5.225 0.386 S
2.240 7.079 -0.925 S
4.118 8.957 -2.807 S
7.079 0.925 5.225 S
8.957 2.807 3.347 S
1.492 2.807 4.118 S
2.240 0.386 6.539 S
5.225 7.079 0.925 S
5.972 4.658 3.347 S
-1.492 4.658 4.118 S
0.386 6.539 2.240 S
3.347 -1.492 10.272 S
5.225 0.386 8.390 S
-0.925 2.240 7.079 S
4.658 3.347 5.972 S
0.925 9.705 0.386 S
2.807 11.583 -1.492 S
3.347 5.972 4.658 S
0.386 0.925 9.705 S
3.347 8.957 2.807 S
7.850 6.539 5.225 S
0.925 5.225 7.079 S
2.807 3.347 8.957 S
-2.807 4.118 8.957 S
6.539 5.225 7.850 S
-4.118 8.957 4.658 S
-1.492 10.272 3.347 S
-2.240 7.079 6.539 S
0.386 8.390 5.225 S
-1.492 2.807 11.583 S
5.225 7.850 6.539 S